# 1
VASP calculation (PBE-GGA) on a geometry-optimized Sr8ZnAg2 structure.

Cell: 9.8628 14.6780 6.8259 Å, 90.00 107.88 90.00°
With the nearest neighbours (Å) after each atom.
Space group Cm (No. 8)
One atom of each set of equivalent atoms:
Sr: 0.0000 0.0000 0.0000 (multiplicity 2)  2 Ag 3.49, 1 Zn 3.72
Sr: 0.0686 0.3702 0.7765 (multiplicity 4)  2 Ag 3.27-3.29, 1 Zn 3.43
Sr: 0.1556 0.1311 0.5774 (multiplicity 4)  2 Ag 3.29-3.31, 1 Zn 3.41
Sr: 0.2242 0.5000 0.3734 (multiplicity 2)  2 Ag 3.52, 1 Zn 3.55
Sr: 0.3599 0.2170 0.1821 (multiplicity 4)  1 Zn 3.44, 2 Ag 3.65-3.72
Zn: 0.3647 0.0000 0.3753 (multiplicity 2)  8 Sr 3.41-3.72
Ag: 0.3651 0.3119 0.6897 (multiplicity 4)  7 Sr 3.27-3.65

energy above the most stable polymorph in this dataset = 10 meV/atom
formation enthalpy at 0 K = -0.092 eV/atom

***

# 2
VASP calculation (PBE-GGA) on a geometry-optimized CsCaPbCl6 structure.

Cell: 7.2280 7.2280 7.6459 Å, 90.00 90.00 120.00°
With the nearest neighbours (Å) after each atom.
Space group P312 (No. 149)
One atom of each set of equivalent atoms:
Cs: 0.0000 0.0000 0.0000 (multiplicity 1)  6 Cl 3.55
Ca: 0.3333 0.6667 0.5000 (multiplicity 1)  6 Cl 2.76
Pb: 0.6667 0.3333 0.5000 (multiplicity 1)  6 Cl 2.75
Cl: 0.3827 0.0008 0.7076 (multiplicity 6)  1 Pb 2.75, 1 Ca 2.76

ΔE_f (raw) = -1.621 eV/atom

***

# 3
VASP calculation (PBE-GGA) on a geometry-optimized Ac6P2Ir3I structure.

Cell: 19.5191 4.3746 9.1339 Å, 90.00 105.29 90.00°
With the nearest neighbours (Å) after each atom.
Space group C2/m (No. 12)
One atom of each set of equivalent atoms:
Ac: 0.0021 0.0000 0.2160 (multiplicity 4)  3 Ir 2.94-3.04, 1 P 3.18
Ac: 0.1662 0.5000 0.0853 (multiplicity 4)  3 Ir 3.13-3.14, 3 P 3.18-3.22
Ac: 0.1813 0.5000 0.5841 (multiplicity 4)  3 Ir 2.93-3.14, 2 P 3.19
P: 0.1647 0.0000 0.8260 (multiplicity 4)  6 Ac 3.18-3.22
Ir: 0.0000 0.5000 0.0000 (multiplicity 2)  6 Ac 2.94-3.13
Ir: 0.1632 0.0000 0.3296 (multiplicity 4)  6 Ac 2.93-3.14
I: 0.0000 0.5000 0.5000 (multiplicity 2)  6 Ac 3.40-3.42

ΔE_f (raw) = -0.921 eV/atom

***

# 4
VASP calculation (PBE-GGA) on a geometry-optimized Tb3Pm2Pr2 structure.

Cell: 8.1055 8.1177 8.1258 Å, 72.68 72.42 72.61°
With the nearest neighbours (Å) after each atom.
Space group P-1 (No. 2)
One atom of each set of equivalent atoms:
Tb: 0.0000 0.0000 0.0000 (multiplicity 1)  4 Pm 3.61-3.64, 4 Pr 3.62-3.63, 4 Tb 3.62-3.63
Tb: 0.1425 0.5728 0.2860 (multiplicity 2)  4 Tb 3.60-3.63, 4 Pr 3.60-3.64, 4 Pm 3.61-3.64
Tb: 0.3563 0.9269 0.2142 (multiplicity 2)  4 Tb 3.60-3.64, 4 Pr 3.61-3.65, 4 Pm 3.62-3.63
Tb: 0.5000 0.5000 0.5000 (multiplicity 1)  4 Pm 3.62-3.64, 4 Pr 3.62-3.64, 4 Tb 3.63
Pm: 0.0717 0.7849 0.6422 (multiplicity 2)  6 Tb 3.61-3.64, 3 Pr 3.62-3.64, 3 Pm 3.62-3.65
Pm: 0.2140 0.3555 0.9292 (multiplicity 2)  6 Tb 3.61-3.64, 3 Pr 3.62-3.64, 3 Pm 3.62-3.65
Pr: 0.2844 0.1447 0.5716 (multiplicity 2)  6 Tb 3.60-3.65, 3 Pm 3.62-3.64, 3 Pr 3.64-3.65
Pr: 0.4279 0.7144 0.8583 (multiplicity 2)  6 Tb 3.61-3.65, 3 Pm 3.63-3.64, 3 Pr 3.63-3.65

energy above the most stable polymorph in this dataset = 0 meV/atom
formation enthalpy at 0 K = 0.015 eV/atom

***

# 5
VASP calculation (PBE-GGA) on a geometry-optimized Be4NbNi5 structure.

Cell: 2.6391 2.6391 14.3781 Å, 90.00 90.00 90.00°
With the nearest neighbours (Å) after each atom.
Space group P4/mmm (No. 123)
One atom of each set of equivalent atoms:
Be: 0.0000 0.0000 0.0899 (multiplicity 2)  8 Ni 2.27
Be: 0.0000 0.0000 0.2715 (multiplicity 2)  8 Ni 2.26-2.29
Nb: 0.0000 0.0000 0.5000 (multiplicity 1)  4 Nb 2.64, 8 Ni 2.75
Ni: 0.5000 0.5000 0.0000 (multiplicity 1)  8 Be 2.27
Ni: 0.5000 0.5000 0.1793 (multiplicity 2)  8 Be 2.27-2.29
Ni: 0.5000 0.5000 0.3599 (multiplicity 2)  4 Be 2.26

formation enthalpy at 0 K = -0.418 eV/atom

***

# 6
VASP calculation (PBE-GGA) on a geometry-optimized LiSmS2 structure.

Cell: 4.0003 4.0003 5.4385 Å, 90.00 90.00 90.00°
With the nearest neighbours (Å) after each atom.
Space group P4/mmm (No. 123)
One atom of each set of equivalent atoms:
Li: 0.0000 0.0000 0.0000 (multiplicity 1)  6 S 2.72-2.83
Sm: 0.5000 0.5000 0.5000 (multiplicity 1)  6 S 2.72-2.83
S: 0.0000 0.0000 0.5000 (multiplicity 1)  2 Li 2.72, 4 Sm 2.83
S: 0.5000 0.5000 0.0000 (multiplicity 1)  2 Sm 2.72, 4 Li 2.83

ΔE_f (raw) = -1.738 eV/atom

***

# 7
VASP calculation (PBE-GGA) on a geometry-optimized KTbTeSe structure.

Cell: 4.3339 4.3339 24.5401 Å, 90.00 90.00 120.00°
With the nearest neighbours (Å) after each atom.
Space group R3m (No. 160, hexagonal axes)
One atom of each set of equivalent atoms:
K: 0.0000 0.0000 0.0000 (multiplicity 3)  3 Se 3.47, 3 Te 3.48
Tb: 0.0000 0.0000 0.1601 (multiplicity 3)  3 Se 2.93, 3 Te 3.10
Te: 0.0000 0.0000 0.5680 (multiplicity 3)  3 Tb 3.10
Se: 0.0000 0.0000 0.7645 (multiplicity 3)  3 Tb 2.93

ΔE_f (raw) = -1.546 eV/atom

***

# 8
VASP calculation (PBE-GGA) on a geometry-optimized UFeTcGe structure.

Cell: 6.3526 6.3526 6.3526 Å, 90.00 90.00 90.00°
With the nearest neighbours (Å) after each atom.
Space group F-43m (No. 216)
One atom of each set of equivalent atoms:
U: 0.0000 0.0000 0.0000 (multiplicity 4)  4 Tc 2.75, 4 Fe 2.75
Fe: 0.2500 0.2500 0.7500 (multiplicity 4)  4 Ge 2.75, 4 U 2.75
Tc: 0.2500 0.2500 0.2500 (multiplicity 4)  4 Ge 2.75, 4 U 2.75
Ge: 0.0000 0.0000 0.5000 (multiplicity 4)  4 Fe 2.75, 4 Tc 2.75

energy above the most stable polymorph in this dataset = 0 meV/atom
formation enthalpy at 0 K = -0.060 eV/atom

***

# 9
VASP calculation (PBE-GGA) on a geometry-optimized Sm3GeCl3 structure.

Cell: 11.5970 11.5970 11.5970 Å, 90.00 90.00 90.00°
With the nearest neighbours (Å) after each atom.
Space group I4_132 (No. 214)
One atom of each set of equivalent atoms:
Sm: 0.1189 0.3689 0.1250 (multiplicity 24)  2 Ge 2.83, 4 Cl 2.91-2.97
Ge: 0.1250 0.1250 0.1250 (multiplicity 8)  6 Sm 2.83
Cl: 0.1240 0.1260 0.6250 (multiplicity 24)  4 Sm 2.91-2.97

ΔE_f (raw) = -1.636 eV/atom

***

# 10
VASP calculation (PBE-GGA) on a geometry-optimized NpH8PdRh4 structure.

Cell: 5.6728 5.6728 13.8420 Å, 90.00 90.00 120.00°
With the nearest neighbours (Å) after each atom.
Space group R3m (No. 160, hexagonal axes)
One atom of each set of equivalent atoms:
Np: 0.0000 0.0000 0.0000 (multiplicity 3)  4 H 2.19-2.24
H: 0.0000 0.0000 0.3814 (multiplicity 3)  4 Rh 1.83-1.89
H: 0.0000 0.0000 0.8385 (multiplicity 3)  3 Rh 1.81
H: 0.0506 0.5253 0.8358 (multiplicity 9)  3 Rh 1.77-1.90
H: 0.0923 0.5462 0.3805 (multiplicity 9)  2 Rh 1.78, 1 Pd 1.84
Pd: 0.0000 0.0000 0.6119 (multiplicity 3)  3 H 1.84
Rh: 0.0000 0.0000 0.2489 (multiplicity 3)  4 H 1.77-1.83
Rh: 0.0034 0.5017 0.1186 (multiplicity 9)  6 H 1.78-1.90

total energy = -5.38 eV/atom

***

# 11
VASP calculation (PBE-GGA) on a geometry-optimized AcTb5Pm6 structure.

Cell: 12.0875 10.9334 6.2958 Å, 90.00 100.19 90.00°
With the nearest neighbours (Å) after each atom.
Space group C2/m (No. 12)
One atom of each set of equivalent atoms:
Ac: 0.0000 0.0000 0.0000 (multiplicity 2)  6 Tb 3.66-3.68, 6 Pm 3.67-3.69
Tb: 0.0000 0.1715 0.5000 (multiplicity 4)  6 Pm 3.58-3.68, 4 Tb 3.59-3.75, 2 Ac 3.66
Tb: 0.0000 0.3365 0.0000 (multiplicity 4)  5 Tb 3.57-3.63, 6 Pm 3.61-3.67, 1 Ac 3.68
Tb: 0.0000 0.5000 0.5000 (multiplicity 2)  6 Tb 3.59-3.62, 6 Pm 3.60-3.62
Pm: 0.2472 0.3320 0.7505 (multiplicity 8)  5 Tb 3.58-3.68, 6 Pm 3.61-3.67, 1 Ac 3.67
Pm: 0.2479 0.5000 0.2553 (multiplicity 4)  5 Tb 3.60-3.68, 6 Pm 3.62-3.67, 1 Ac 3.69

formation enthalpy at 0 K = 0.027 eV/atom

***

# 12
VASP calculation (PBE-GGA) on a geometry-optimized Sm4Rh structure.

Cell: 10.9619 10.9619 10.9619 Å, 90.00 90.00 90.00°
With the nearest neighbours (Å) after each atom.
Space group Fd-3m (No. 227, origin choice 2)
One atom of each set of equivalent atoms:
Sm: 0.0135 0.0135 0.2365 (multiplicity 32)  1 Rh 2.63
Rh: 0.1250 0.1250 0.6250 (multiplicity 8)  4 Sm 2.63

energy above the most stable polymorph in this dataset = 395 meV/atom
formation enthalpy at 0 K = 0.083 eV/atom